Entry 1:
Below is crystalline SiS5Cl at its relaxed geometry, with properties calculated at the PBE level.

## Properties
**Energy**: -29.41 eV/cell
**Calculated volume**: 32.6 Å³/atom

Cell lengths 8.312, 3.369, 12.410 Å; angles 46.57, 107.14, 115.25 degrees
Fractional positions:
1 Si 0.673 0.182 0.293
2 S 0.743 0.105 0.156
3 S 0.394 0.722 0.359
4 S 0.262 0.067 0.169
5 S 0.377 0.500 0.851
6 S 0.279 0.141 0.741
7 Cl 0.804 0.814 0.493



Entry 2:
Below is crystalline SrTcAg2Pt at its relaxed geometry, with properties calculated at the PBE level.

## Properties
**Energy of formation**: 440 meV/atom
**Energy**: -21.59 eV/cell
**E above lowest polymorph**: 0.0 meV per atom
**Calculated volume**: 25.5 Å³/atom

Cell lengths 5.152, 5.152, 4.796 Å; angles 90.00, 90.00, 90.00 degrees
Fractional positions:
1 Sr 0.500 0.500 0.500
2 Ag 0.000 0.500 0.000
3 Ag 0.500 0.000 0.000
4 Pt 0.000 0.000 0.500
5 Tc 0.000 0.000 0.000



Entry 3:
Below is crystalline Pm2As3Rh6 at its relaxed geometry, with properties calculated at the PBE level.

## Properties
**Energy of formation**: -733 meV/atom
**Energy**: -75.62 eV/cell
**Calculated volume**: 17.9 Å³/atom

Cell lengths 4.339, 7.243, 7.243 Å; angles 120.00, 90.00, 90.00 degrees
Fractional positions:
1 Pm 0.000 0.667 0.333
2 Pm 0.000 0.333 0.667
3 As 0.500 0.385 0.385
4 As 0.500 0.615 0.000
5 As 0.500 0.000 0.615
6 Rh 0.500 0.725 0.725
7 Rh 0.500 0.000 0.275
8 Rh 0.000 0.217 0.217
9 Rh 0.000 0.783 0.000
10 Rh 0.500 0.275 0.000
11 Rh 0.000 0.000 0.783